[1]
VASP calculation (GGA-PBE) on NaMnAl3 after structural relaxation.

Output
The magnetization is 0.0 μB per formula unit. The energy relative to the lowest polymorph listed for this composition comes out at 0 meV per atom. For the total DFT energy (no corrections), the calculation gives -4.2688 eV per atom. The calculation puts the volume at 19.8 Å³/atom. Its calculated formation energy is 74 meV/atom.

Lattice parameters (Å, degrees): 4.6242 4.6242 4.6242 90.00 90.00 90.00
Space group Pm-3m (No. 221)
Symmetry-distinct sites (fractional):
1 Na 0.0000 0.0000 0.0000
2 Mn 0.5000 0.5000 0.5000
3 Al 0.0000 0.5000 0.5000



[2]
VASP calculation (GGA-PBE) on Ag3RuF after structural relaxation.

Output
The magnetization is 2.2 μB per formula unit. The energy relative to the lowest polymorph listed for this composition comes out at 437 meV per atom. For the total DFT energy (no corrections), the calculation gives -2.8837 eV per atom. The calculation puts the volume at 27.1 Å³/atom. The uncorrected formation energy is 1056 meV/atom.

Lattice parameters (Å, degrees): 5.1334 5.1334 5.1334 90.00 90.00 90.00
Space group Pm-3m (No. 221)
Symmetry-distinct sites (fractional):
1 Ag 0.0000 0.0000 0.5000
2 Ru 0.0000 0.0000 0.0000
3 F 0.5000 0.5000 0.5000



[3]
VASP calculation (GGA-PBE) on Li3Ac2Zn6 after structural relaxation.

Output
The magnetization is 0.0 μB per formula unit. For the total DFT energy (no corrections), the calculation gives -2.1297 eV per atom. The calculation puts the volume at 22.3 Å³/atom. Its calculated formation energy is -166 meV/atom.

Lattice parameters (Å, degrees): 10.0164 12.4325 3.9416 90.00 90.00 90.00
Space group Cmmm (No. 65)
Symmetry-distinct sites (fractional):
1 Li 0.0000 0.0000 0.0000
2 Li 0.1980 0.0000 0.5000
3 Ac 0.0000 0.2912 0.5000
4 Zn 0.1218 0.5000 0.0000
5 Zn 0.2114 0.1530 0.0000



[4]
VASP calculation (GGA-PBE) on Tm4CdRh after structural relaxation.

Output
The magnetization is 0.0 μB per formula unit. The energy relative to the lowest polymorph listed for this composition comes out at 256 meV per atom. For the total DFT energy (no corrections), the calculation gives -4.6182 eV per atom. The calculation puts the volume at 28.1 Å³/atom. Its calculated formation energy is -259 meV/atom.

Lattice parameters (Å, degrees): 6.8104 6.8105 7.2740 90.00 90.07 90.00
Space group C2/m (No. 12)
Symmetry-distinct sites (fractional):
1 Tm 0.2497 0.2500 0.2240
2 Cd 0.0000 0.0000 0.5000
3 Rh 0.0000 0.5000 0.0000